# 1
Density functional theory data (PBE) for a geometry-optimized Ho5Er2Ru4 structure.

abc: 3.2140 8.7286 16.1436
angles: 39.46 95.71 90.00
With the nearest neighbours (Å) after each atom.
Atoms (fractional coordinates):
Ru (0.3732, 0.3439, 0.7464)  1 Ru 2.45, 2 Ho 2.57-2.60
Ru (0.2991, 0.3335, 0.5981)  3 Ru 2.45-2.60, 1 Er 2.73
Ru (0.7009, 0.6665, 0.4019)  3 Ru 2.45-2.60, 1 Er 2.73
Ru (0.6268, 0.6561, 0.2536)  1 Ru 2.45, 2 Ho 2.57-2.60
Er (0.4257, 0.8654, 0.8514)  1 Ru 2.73
Er (0.5743, 0.1346, 0.1486)  1 Ru 2.73
Ho (0.6108, 0.4062, 0.2217)  1 Ru 2.60
Ho (0.5000, 0.0000, 0.0000)  2 Ru 2.57
Ho (0.2374, 0.8194, 0.4749)  4 Ru 2.86-2.98
Ho (0.3892, 0.5938, 0.7783)  1 Ru 2.60
Ho (0.7626, 0.1806, 0.5251)  4 Ru 2.86-2.98

## Properties
DOS at the Fermi energy = 1.17 states/eV per atom
Electronic total energy = -5.954 eV per atom
Formation energy = 0.330 eV per atom
Space group = C2/m (12)
Crystal system = monoclinic

# 2
Density functional theory data (PBE) for a geometry-optimized Ho3ErRu2 structure.

abc: 6.6738 6.9837 8.2688
angles: 114.98 113.80 90.00
With the nearest neighbours (Å) after each atom.
Atoms (fractional coordinates):
Ho (0.5000, 0.7500, 0.0000)  4 Ru 2.91
Ho (0.2345, 0.9845, 0.4689)  4 Ru 2.88
Ho (0.5000, 0.2500, 0.0000)  4 Ru 2.91
Ho (0.7655, 0.0155, 0.5311)  4 Ru 2.88
Ho (0.2345, 0.4845, 0.4689)  4 Ru 2.88
Ho (0.7655, 0.5155, 0.5311)  4 Ru 2.88
Ru (0.5863, 0.3654, 0.7308)  1 Er 2.60, 4 Ho 2.88
Ru (0.4137, 0.6346, 0.2692)  1 Er 2.60, 4 Ho 2.88
Ru (0.1445, 0.8654, 0.7308)  1 Er 2.60, 4 Ho 2.88
Ru (0.8555, 0.1346, 0.2692)  1 Er 2.60, 4 Ho 2.88
Er (0.0000, 0.5000, 0.0000)  2 Ru 2.60
Er (0.0000, 0.0000, 0.0000)  2 Ru 2.60

## Properties
DOS at the Fermi energy = 0.37 states/eV per atom
Relative energy among the computed polymorphs = 64 kJ/mol of formula units
Electronic total energy = -6.398 eV per atom
Formation energy = -0.257 eV per atom
Space group = Ibam (72)
Crystal system = orthorhombic

# 3
Density functional theory data (PBE) for a geometry-optimized Ho3Er5Ru2 structure.

abc: 7.9974 9.7040 9.7040
angles: 61.35 65.67 65.67
With the nearest neighbours (Å) after each atom.
Atoms (fractional coordinates):
Er (0.1250, 0.6073, 0.1428)  1 Ru 2.65
Er (0.5017, 0.7483, 0.7483)  2 Ru 2.68
Er (0.4983, 0.2517, 0.2517)  2 Ru 2.68
Er (0.2500, 0.5000, 0.5000)  4 Ho 3.55, 6 Er 3.55-3.64
Er (0.6250, 0.1428, 0.6073)  1 Ru 2.65
Er (0.7500, 0.5000, 0.5000)  4 Ho 3.55, 6 Er 3.55-3.64
Er (0.3750, 0.8572, 0.3927)  1 Ru 2.65
Er (0.9983, 0.2517, 0.2517)  2 Ru 2.68
Er (0.8750, 0.3927, 0.8572)  1 Ru 2.65
Er (0.0017, 0.7483, 0.7483)  2 Ru 2.68
Ru (0.6303, 0.8698, 0.8696)  3 Er 2.65-2.68, 3 Ho 2.65-2.76
Ru (0.8697, 0.1304, 0.1302)  3 Er 2.65-2.68, 3 Ho 2.65-2.76
Ru (0.1303, 0.8696, 0.8698)  3 Er 2.65-2.68, 3 Ho 2.65-2.76
Ru (0.3697, 0.1302, 0.1304)  3 Er 2.65-2.68, 3 Ho 2.65-2.76
Ho (0.2500, 0.0000, 0.0000)  4 Ru 2.76
Ho (0.7500, 0.0000, 0.0000)  4 Ru 2.76
Ho (0.8751, 0.8570, 0.3928)  1 Ru 2.65
Ho (0.1249, 0.1430, 0.6072)  1 Ru 2.65
Ho (0.6249, 0.6072, 0.1430)  1 Ru 2.65
Ho (0.3751, 0.3928, 0.8570)  1 Ru 2.65

## Properties
DOS at the Fermi energy = 0.86 states/eV per atom
Electronic total energy = -5.628 eV per atom
Formation energy = -0.118 eV per atom
Space group = Ibam (72)
Crystal system = orthorhombic

# 4
Density functional theory data (PBE) for a geometry-optimized Ho2ErRu3 structure.

abc: 3.3897 4.7707 7.5488
angles: 108.42 90.00 90.00
With the nearest neighbours (Å) after each atom.
Atoms (fractional coordinates):
Ru (0.5000, 0.1662, 0.3325)  2 Er 2.92, 6 Ho 2.93-2.94
Ru (0.5000, 0.8338, 0.6675)  2 Er 2.92, 6 Ho 2.93-2.94
Ru (0.5000, 0.5000, 0.0000)  4 Ho 2.92, 4 Er 2.93
Ho (0.0000, 0.6664, 0.3328)  8 Ru 2.92-2.94
Ho (0.0000, 0.3336, 0.6672)  8 Ru 2.92-2.94
Er (0.0000, 0.0000, 0.0000)  8 Ru 2.92-2.93

## Properties
DOS at the Fermi energy = 1.14 states/eV per atom
Relative energy among the computed polymorphs = 0 kJ/mol of formula units
Electronic total energy = -7.287 eV per atom
Formation energy = -0.363 eV per atom
Space group = Cmmm (65)
Crystal system = orthorhombic

# 5
Density functional theory data (PBE) for a geometry-optimized HoErScRu structure.

abc: 5.0194 5.0194 5.0194
angles: 60.00 60.00 60.00
With the nearest neighbours (Å) after each atom.
Atoms (fractional coordinates):
Er (0.0000, 0.0000, 0.0000)  4 Ru 3.07, 4 Sc 3.07
Ho (0.5000, 0.5000, 0.5000)  4 Ru 3.07, 4 Sc 3.07
Ru (0.7500, 0.7500, 0.7500)  4 Er 3.07, 4 Ho 3.07
Sc (0.2500, 0.2500, 0.2500)  4 Ho 3.07, 4 Er 3.07

## Properties
DOS at the Fermi energy = 1.23 states/eV per atom
Electronic total energy = -6.246 eV per atom
Formation energy = -0.059 eV per atom
Space group = F-43m (216)
Crystal system = cubic

# 6
Density functional theory data (PBE) for a geometry-optimized HoErSnRu structure.

abc: 5.0375 5.0375 5.0375
angles: 60.00 60.00 60.00
With the nearest neighbours (Å) after each atom.
Atoms (fractional coordinates):
Ho (0.0000, 0.0000, 0.0000)  4 Sn 3.08, 4 Ru 3.08
Sn (0.7500, 0.7500, 0.7500)  4 Er 3.08, 4 Ho 3.08
Er (0.5000, 0.5000, 0.5000)  4 Ru 3.08, 4 Sn 3.08
Ru (0.2500, 0.2500, 0.2500)  4 Ho 3.08, 4 Er 3.08

## Properties
DOS at the Fermi energy = 0.61 states/eV per atom
Electronic total energy = -6.035 eV per atom
Formation energy = -0.430 eV per atom
Space group = F-43m (216)
Crystal system = cubic

# 7
Density functional theory data (PBE) for a geometry-optimized HoErTlRu structure.

abc: 5.0485 5.0485 5.0485
angles: 60.00 60.00 60.00
With the nearest neighbours (Å) after each atom.
Atoms (fractional coordinates):
Tl (0.2500, 0.2500, 0.2500)  4 Ho 3.09, 4 Er 3.09
Ru (0.7500, 0.7500, 0.7500)  4 Ho 3.09, 4 Er 3.09
Er (0.0000, 0.0000, 0.0000)  4 Tl 3.09, 4 Ru 3.09
Ho (0.5000, 0.5000, 0.5000)  4 Ru 3.09, 4 Tl 3.09

## Properties
DOS at the Fermi energy = 0.59 states/eV per atom
Electronic total energy = -5.465 eV per atom
Formation energy = -0.269 eV per atom
Space group = F-43m (216)
Crystal system = cubic

# 8
Density functional theory data (PBE) for a geometry-optimized HoEr2U2Ru5 structure.

abc: 3.5984 10.5436 10.5436
angles: 90.00 90.00 90.00
With the nearest neighbours (Å) after each atom.
Atoms (fractional coordinates):
U (0.0000, 0.3650, 0.1350)  6 Ru 2.56-2.70, 1 Er 2.85
U (0.0000, 0.1350, 0.6350)  6 Ru 2.56-2.70, 1 Er 2.85
U (0.0000, 0.6350, 0.8650)  6 Ru 2.56-2.70, 1 Er 2.85
U (0.0000, 0.8650, 0.3650)  6 Ru 2.56-2.70, 1 Er 2.85
Ru (0.5000, 0.2122, 0.0542)  2 U 2.56
Ru (0.5000, 0.9458, 0.2122)  2 U 2.56
Ru (0.5000, 0.5542, 0.7122)  2 U 2.56
Ru (0.5000, 0.7878, 0.9458)  2 U 2.56
Ru (0.5000, 0.2878, 0.5542)  2 U 2.56
Ru (0.5000, 0.0000, 0.5000)  4 U 2.70
Ru (0.5000, 0.5000, 0.0000)  4 U 2.70
Ru (0.5000, 0.4458, 0.2878)  2 U 2.56
Ru (0.5000, 0.7122, 0.4458)  2 U 2.56
Ru (0.5000, 0.0542, 0.7878)  2 U 2.56
Er (0.0000, 0.6736, 0.1736)  1 U 2.85, 2 Ru 3.15
Er (0.0000, 0.3264, 0.8264)  1 U 2.85, 2 Ru 3.15
Er (0.0000, 0.8264, 0.6736)  1 U 2.85, 2 Ru 3.15
Er (0.0000, 0.1736, 0.3264)  1 U 2.85, 2 Ru 3.15
Ho (0.0000, 0.0000, 0.0000)  8 Ru 2.93
Ho (0.0000, 0.5000, 0.5000)  8 Ru 2.93

## Properties
DOS at the Fermi energy = 0.65 states/eV per atom
Electronic total energy = -8.561 eV per atom
Formation energy = -0.295 eV per atom
Space group = P4/mbm (127)
Crystal system = tetragonal

# 9
Density functional theory data (PBE) for a geometry-optimized Ho2ErU2Ru5 structure.

abc: 3.5901 10.5585 10.5585
angles: 90.00 90.00 90.00
With the nearest neighbours (Å) after each atom.
Atoms (fractional coordinates):
Ru (0.5000, 0.9461, 0.2118)  2 U 2.56
Ru (0.5000, 0.7118, 0.4461)  2 U 2.56
Ru (0.5000, 0.2882, 0.5539)  2 U 2.56
Ru (0.5000, 0.4461, 0.2882)  2 U 2.56
Ru (0.5000, 0.0000, 0.5000)  4 U 2.70
Ru (0.5000, 0.5000, 0.0000)  4 U 2.70
Ru (0.5000, 0.0539, 0.7882)  2 U 2.56
Ru (0.5000, 0.7882, 0.9461)  2 U 2.56
Ru (0.5000, 0.2118, 0.0539)  2 U 2.56
Ru (0.5000, 0.5539, 0.7118)  2 U 2.56
U (0.0000, 0.6354, 0.8646)  6 Ru 2.56-2.70, 1 Ho 2.85
U (0.0000, 0.8646, 0.3646)  6 Ru 2.56-2.70, 1 Ho 2.85
U (0.0000, 0.1354, 0.6354)  6 Ru 2.56-2.70, 1 Ho 2.85
U (0.0000, 0.3646, 0.1354)  6 Ru 2.56-2.70, 1 Ho 2.85
Ho (0.0000, 0.1739, 0.3261)  1 U 2.85, 2 Ru 3.16
Ho (0.0000, 0.6739, 0.1739)  1 U 2.85, 2 Ru 3.16
Ho (0.0000, 0.8261, 0.6739)  1 U 2.85, 2 Ru 3.16
Ho (0.0000, 0.3261, 0.8261)  1 U 2.85, 2 Ru 3.16
Er (0.0000, 0.0000, 0.0000)  8 Ru 2.92
Er (0.0000, 0.5000, 0.5000)  8 Ru 2.92

## Properties
DOS at the Fermi energy = 0.65 states/eV per atom
Electronic total energy = -8.563 eV per atom
Formation energy = -0.295 eV per atom
Space group = P4/mbm (127)
Crystal system = tetragonal

# 10
Density functional theory data (PBE) for a geometry-optimized Ho4ErS7 structure.

abc: 3.7868 6.6618 11.5587
angles: 103.99 90.00 106.51
With the nearest neighbours (Å) after each atom.
Atoms (fractional coordinates):
S (0.0411, 0.0822, 0.7843)  1 Er 2.67, 3 Ho 2.67-2.73
S (0.6593, 0.3186, 0.0512)  5 Ho 2.73-2.94
S (0.9587, 0.9175, 0.2149)  4 Ho 2.67-2.73
S (0.7411, 0.4822, 0.3532)  4 Ho 2.76-2.92, 1 Er 2.80
S (0.3408, 0.6815, 0.9488)  5 Ho 2.73-2.94
S (0.2599, 0.5198, 0.6472)  2 Er 2.75, 3 Ho 2.81-2.92
S (0.4992, 0.9983, 0.5002)  2 Er 2.66, 2 Ho 2.67
Ho (0.7000, 0.4001, 0.8122)  7 S 2.73-2.94
Ho (0.1117, 0.2233, 0.4216)  6 S 2.67-2.81
Ho (0.3002, 0.6003, 0.1882)  7 S 2.73-2.94
Ho (0.0000, 0.0000, 0.9997)  6 S 2.67-2.73
Er (0.8880, 0.7761, 0.5785)  6 S 2.66-2.80

## Properties
DOS at the Fermi energy = 0.11 states/eV per atom
Electronic total energy = -6.385 eV per atom
Formation energy without anion corrections = -2.0707 eV per atom
Space group = Cm (8)
Crystal system = monoclinic

# 11
Density functional theory data (PBE) for a geometry-optimized Ho3Er2S8 structure.

abc: 6.6462 7.8538 7.8471
angles: 120.03 107.31 90.00
With the nearest neighbours (Å) after each atom.
Atoms (fractional coordinates):
Er (0.6581, 0.7383, 0.4766)  6 S 2.68-2.78
Er (0.3419, 0.2617, 0.5234)  6 S 2.68-2.78
S (0.5852, 0.1101, 0.7504)  2 Ho 2.69-2.70, 2 Er 2.76-2.78
S (0.9060, 0.6189, 0.2377)  2 Ho 2.68, 1 Er 2.68
S (0.9292, 0.1176, 0.2352)  3 Ho 2.75, 1 Er 2.77
S (0.0708, 0.8824, 0.7648)  3 Ho 2.75, 1 Er 2.77
S (0.5852, 0.6403, 0.7504)  2 Ho 2.69-2.70, 2 Er 2.76-2.78
S (0.4148, 0.3597, 0.2496)  2 Ho 2.69-2.70, 2 Er 2.76-2.78
S (0.0940, 0.3811, 0.7623)  2 Ho 2.68, 1 Er 2.68
S (0.4148, 0.8899, 0.2496)  2 Ho 2.69-2.70, 2 Er 2.76-2.78
Ho (0.0000, 0.7373, 0.0000)  6 S 2.68-2.75
Ho (0.5000, 0.0000, 0.0000)  6 S 2.69-2.75
Ho (0.0000, 0.2627, 0.0000)  6 S 2.68-2.75

## Properties
DOS at the Fermi energy = 0.53 states/eV per atom
Electronic total energy = -6.175 eV per atom
Formation energy without anion corrections = -1.8766 eV per atom
Space group = C2/m (12)
Crystal system = monoclinic

# 12
Density functional theory data (PBE) for a geometry-optimized Ho3ErS6 structure.

abc: 7.9868 7.9868 7.9868
angles: 91.11 91.11 91.11
With the nearest neighbours (Å) after each atom.
Atoms (fractional coordinates):
S (0.0817, 0.3151, 0.9095)  1 Er 2.70, 3 Ho 2.71-2.81
S (0.5944, 0.8186, 0.4636)  1 Er 2.66, 3 Ho 2.70-2.79
S (0.6849, 0.0905, 0.9183)  1 Er 2.70, 3 Ho 2.71-2.81
S (0.9095, 0.0817, 0.3151)  1 Er 2.70, 3 Ho 2.71-2.81
S (0.4636, 0.5944, 0.8186)  1 Er 2.66, 3 Ho 2.70-2.79
S (0.9183, 0.6849, 0.0905)  1 Er 2.70, 3 Ho 2.71-2.81
S (0.3151, 0.9095, 0.0817)  1 Er 2.70, 3 Ho 2.71-2.81
S (0.5364, 0.4056, 0.1814)  1 Er 2.66, 3 Ho 2.70-2.79
S (0.4056, 0.1814, 0.5364)  1 Er 2.66, 3 Ho 2.70-2.79
S (0.8186, 0.4636, 0.5944)  1 Er 2.66, 3 Ho 2.70-2.79
S (0.0905, 0.9183, 0.6849)  1 Er 2.70, 3 Ho 2.71-2.81
S (0.1814, 0.5364, 0.4056)  1 Er 2.66, 3 Ho 2.70-2.79
Ho (0.5676, 0.0767, 0.2474)  6 S 2.70-2.81
Ho (0.4324, 0.9233, 0.7526)  6 S 2.70-2.81
Ho (0.2474, 0.5676, 0.0767)  6 S 2.70-2.81
Ho (0.9233, 0.7526, 0.4324)  6 S 2.70-2.81
Ho (0.0767, 0.2474, 0.5676)  6 S 2.70-2.81
Ho (0.7526, 0.4324, 0.9233)  6 S 2.70-2.81
Er (0.0000, 0.0000, 0.0000)  6 S 2.70
Er (0.5000, 0.5000, 0.5000)  6 S 2.66

## Properties
DOS at the Fermi energy = 0.00 states/eV per atom
Electronic total energy = -6.369 eV per atom
Formation energy without anion corrections = -2.0626 eV per atom
Space group = R-3 (148)
Crystal system = trigonal

What did the fourth record say?
Density functional theory data (PBE) for a geometry-optimized Ho2ErRu3 structure.

abc: 3.3897 4.7707 7.5488
angles: 108.42 90.00 90.00
With the nearest neighbours (Å) after each atom.
Atoms (fractional coordinates):
Ru (0.5000, 0.1662, 0.3325)  2 Er 2.92, 6 Ho 2.93-2.94
Ru (0.5000, 0.8338, 0.6675)  2 Er 2.92, 6 Ho 2.93-2.94
Ru (0.5000, 0.5000, 0.0000)  4 Ho 2.92, 4 Er 2.93
Ho (0.0000, 0.6664, 0.3328)  8 Ru 2.92-2.94
Ho (0.0000, 0.3336, 0.6672)  8 Ru 2.92-2.94
Er (0.0000, 0.0000, 0.0000)  8 Ru 2.92-2.93

## Properties
DOS at the Fermi energy = 1.14 states/eV per atom
Relative energy among the computed polymorphs = 0 kJ/mol of formula units
Electronic total energy = -7.287 eV per atom
Formation energy = -0.363 eV per atom
Space group = Cmmm (65)
Crystal system = orthorhombic

Which of these has the lowest DOS at the Fermi energy?
Ho3ErS6

Repeat the tenth record exactly.
Density functional theory data (PBE) for a geometry-optimized Ho4ErS7 structure.

abc: 3.7868 6.6618 11.5587
angles: 103.99 90.00 106.51
With the nearest neighbours (Å) after each atom.
Atoms (fractional coordinates):
S (0.0411, 0.0822, 0.7843)  1 Er 2.67, 3 Ho 2.67-2.73
S (0.6593, 0.3186, 0.0512)  5 Ho 2.73-2.94
S (0.9587, 0.9175, 0.2149)  4 Ho 2.67-2.73
S (0.7411, 0.4822, 0.3532)  4 Ho 2.76-2.92, 1 Er 2.80
S (0.3408, 0.6815, 0.9488)  5 Ho 2.73-2.94
S (0.2599, 0.5198, 0.6472)  2 Er 2.75, 3 Ho 2.81-2.92
S (0.4992, 0.9983, 0.5002)  2 Er 2.66, 2 Ho 2.67
Ho (0.7000, 0.4001, 0.8122)  7 S 2.73-2.94
Ho (0.1117, 0.2233, 0.4216)  6 S 2.67-2.81
Ho (0.3002, 0.6003, 0.1882)  7 S 2.73-2.94
Ho (0.0000, 0.0000, 0.9997)  6 S 2.67-2.73
Er (0.8880, 0.7761, 0.5785)  6 S 2.66-2.80

## Properties
DOS at the Fermi energy = 0.11 states/eV per atom
Electronic total energy = -6.385 eV per atom
Formation energy without anion corrections = -2.0707 eV per atom
Space group = Cm (8)
Crystal system = monoclinic